No. 1
Material: AcSi2Rh2
Method: DFT, GGA-PBE
State: relaxed

Formation energy from raw total energies = -0.9383 eV/atom
Calculated density = 8173 kg/m3
Space group = Fddd, No. 70
E above lowest polymorph = 53 meV/atom
Crystal system = orthorhombic

```
AcSi2Rh2
1.0
0.000 5.122 6.429
3.017 0.000 6.429
3.017 5.122 0.000
Ac Si Rh
2 4 4
Direct
0.125 0.125 0.125
0.875 0.875 0.875
0.192 0.558 0.192
0.442 0.808 0.442
0.558 0.192 0.558
0.808 0.442 0.808
0.258 0.258 0.492
0.492 0.492 0.258
0.508 0.508 0.742
0.742 0.742 0.508
```


No. 2
Material: Ba6Cd7
Method: DFT, GGA-PBE
State: relaxed

DFT total energy = -1.580 eV/atom
Calculated density = 5635 kg/m3
Space group = R-3m, No. 166
Crystal system = trigonal

```
Ba6Cd7
1.0
3.352 1.935 12.196
-3.352 1.935 12.196
0.000 -3.871 12.196
Ba Cd
6 7
Direct
0.057 0.057 0.057
0.160 0.160 0.160
0.323 0.323 0.323
0.677 0.677 0.677
0.840 0.840 0.840
0.943 0.943 0.943
0.116 0.585 0.585
0.415 0.415 0.884
0.415 0.884 0.415
0.500 0.500 0.500
0.585 0.116 0.585
0.585 0.585 0.116
0.884 0.415 0.415
```


No. 3
Material: Nd2Sm
Method: DFT, GGA-PBE
State: relaxed

Calculated density = 6885 kg/m3
Space group = I4_1/amd, No. 141
E above lowest polymorph = 112 meV/atom
Crystal system = tetragonal

```
Nd2Sm
1.0
3.550 0.000 0.000
0.000 3.550 0.000
0.000 0.000 33.587
Nd Sm
8 4
Direct
0.000 0.250 0.297
0.000 0.250 0.453
0.000 0.750 0.547
0.000 0.750 0.703
0.500 0.250 0.047
0.500 0.250 0.203
0.500 0.750 0.797
0.500 0.750 0.953
0.000 0.250 0.875
0.000 0.750 0.125
0.500 0.250 0.625
0.500 0.750 0.375
```


No. 4
Material: CrSi3Ni
Method: DFT, GGA-PBE
State: relaxed

Formation energy from raw total energies = 0.6428 eV/atom
Calculated density = 3903 kg/m3
Space group = Pm-3m, No. 221
Crystal system = cubic

```
CrSi3Ni
1.0
4.361 0.000 0.000
0.000 4.361 0.000
0.000 0.000 4.361
Cr Si Ni
1 3 1
Direct
0.000 0.000 0.000
0.000 0.000 0.500
0.000 0.500 0.000
0.500 0.000 0.000
0.500 0.500 0.500
```


No. 5
Material: HfMo4W3
Method: DFT, GGA-PBE
State: relaxed

DFT total energy = -11.591 eV/atom
Calculated density = 14076 kg/m3
Space group = P4/mmm, No. 123
Crystal system = tetragonal

```
HfMo4W3
1.0
4.528 0.000 0.000
0.000 4.528 0.000
0.000 0.000 6.409
Hf Mo W
1 4 3
Direct
0.000 0.000 0.000
0.000 0.500 0.255
0.000 0.500 0.745
0.500 0.000 0.255
0.500 0.000 0.745
0.000 0.000 0.500
0.500 0.500 0.000
0.500 0.500 0.500
```


No. 6
Material: MnCr2Ru
Method: DFT, GGA-PBE
State: relaxed

Calculated density = 8785 kg/m3
Space group = Pm, No. 6
E above lowest polymorph = 73 meV/atom
Crystal system = monoclinic

```
MnCr2Ru
1.0
2.575 0.000 0.000
0.000 3.975 0.000
-1.067 0.000 4.802
Mn Cr Ru
1 2 1
Direct
0.000 0.000 0.000
0.211 0.500 0.769
0.378 0.000 0.524
0.664 0.500 0.273
```